(1)
Here is crystalline BaY at its relaxed geometry from Alexandria via LeMat-Bulk. Energies are from PBE.

Unit cell a=6.042 b=6.042 c=11.500 alpha=90.00 beta=90.00 gamma=120.00
Sites, in units of the cell vectors:
Ba1 0.333 0.667 0.077
Ba2 0.667 0.333 0.577
Ba3 0.667 0.333 0.923
Ba4 0.333 0.667 0.423
Y1 0.000 0.000 0.250
Y2 0.000 0.000 0.750
Y3 0.333 0.667 0.750
Y4 0.667 0.333 0.250

Raw total energy (eV per cell): -30.30
SG: P6_3/mmc
Magnetic moment (μB per formula unit): 0.00
V (Å³/atom): 45.5
DOS at the Fermi energy (states/eV/cell): 15.012

(2)
Here is crystalline YTm7 at its relaxed geometry from Alexandria via LeMat-Bulk. Energies are from PBE.

Unit cell a=6.996 b=6.996 c=6.996 alpha=60.00 beta=60.00 gamma=60.00
Sites, in units of the cell vectors:
Y1 0.000 0.000 0.000
Tm1 0.500 0.500 0.000
Tm2 0.500 0.000 0.500
Tm3 0.000 0.500 0.500
Tm4 0.500 0.000 0.000
Tm5 0.000 0.500 0.000
Tm6 0.000 0.000 0.500
Tm7 0.500 0.500 0.500

Raw total energy (eV per cell): -37.50
SG: Fm-3m
Magnetic moment (μB per formula unit): 0.00
V (Å³/atom): 30.3
DOS at the Fermi energy (states/eV/cell): 14.724

(3)
Here is crystalline Ac2PmSm2 at its relaxed geometry from Alexandria via LeMat-Bulk. Energies are from PBE.

Unit cell a=4.967 b=4.967 c=9.029 alpha=105.97 beta=105.97 gamma=90.00
Sites, in units of the cell vectors:
Ac1 0.750 0.250 0.500
Ac2 0.250 0.750 0.500
Pm1 0.000 0.000 0.000
Sm1 0.408 0.408 0.817
Sm2 0.592 0.592 0.183

Raw total energy (eV per cell): -20.23
SG: I4/mmm
Magnetic moment (μB per formula unit): 0.00
V (Å³/atom): 41.1
DOS at the Fermi energy (states/eV/cell): 10.509

(4)
Here is crystalline KFe2Rh at its relaxed geometry from Alexandria via LeMat-Bulk. Energies are from PBE.

Unit cell a=2.972 b=2.974 c=8.795 alpha=70.26 beta=90.00 gamma=90.00
Sites, in units of the cell vectors:
Fe1 0.000 0.998 0.002
Fe2 0.500 0.340 0.160
K1 0.000 0.488 0.512
Rh1 0.500 0.674 0.826

Raw total energy (eV per cell): -23.27
SG: P4mm
Magnetic moment (μB per formula unit): 6.23
V (Å³/atom): 18.3
DOS at the Fermi energy (states/eV/cell): 5.383

(5)
Here is crystalline Ac4Mg5Ge2 at its relaxed geometry from Alexandria via LeMat-Bulk. Energies are from PBE.

Unit cell a=4.695 b=7.930 c=9.328 alpha=90.11 beta=90.00 gamma=90.00
Sites, in units of the cell vectors:
Ac1 0.500 0.765 0.587
Ac2 0.500 0.188 0.848
Ac3 0.500 0.235 0.413
Ac4 0.500 0.812 0.152
Mg1 0.000 0.568 0.339
Mg2 0.000 0.148 0.129
Mg3 0.000 0.500 0.000
Mg4 0.000 0.852 0.871
Mg5 0.000 0.432 0.661
Ge1 0.000 0.065 0.627
Ge2 0.000 0.935 0.373

Raw total energy (eV per cell): -36.44
SG: P2/m
Magnetic moment (μB per formula unit): 0.00
V (Å³/atom): 31.6
DOS at the Fermi energy (states/eV/cell): 6.307

(6)
Here is crystalline Pr3HoMg2 at its relaxed geometry from Alexandria via LeMat-Bulk. Energies are from PBE.

Unit cell a=3.830 b=3.830 c=12.803 alpha=90.00 beta=90.00 gamma=90.00
Sites, in units of the cell vectors:
Pr1 0.000 0.000 0.000
Pr2 0.000 0.000 0.689
Pr3 0.000 0.000 0.311
Ho1 0.500 0.500 0.500
Mg1 0.500 0.500 0.845
Mg2 0.500 0.500 0.155

Raw total energy (eV per cell): -22.44
SG: P4/mmm
Magnetic moment (μB per formula unit): 0.00
V (Å³/atom): 31.3
DOS at the Fermi energy (states/eV/cell): 6.702

(7)
Here is crystalline PaGaAs at its relaxed geometry from Alexandria via LeMat-Bulk. Energies are from PBE.

Unit cell a=3.532 b=3.532 c=5.567 alpha=108.49 beta=108.49 gamma=90.00
Sites, in units of the cell vectors:
As1 0.655 0.655 0.310
Pa1 0.325 0.325 0.650
Ga1 0.020 0.020 0.040

Raw total energy (eV per cell): -18.18
SG: I4mm
Magnetic moment (μB per formula unit): 0.18
V (Å³/atom): 20.7
DOS at the Fermi energy (states/eV/cell): 4.647

(8)
Here is crystalline Cd4In15Pb at its relaxed geometry from Alexandria via LeMat-Bulk. Energies are from PBE.

Unit cell a=4.704 b=4.704 c=23.954 alpha=90.00 beta=90.00 gamma=90.00
Sites, in units of the cell vectors:
Cd1 0.000 0.000 0.204
Cd2 0.000 0.000 0.401
Cd3 0.000 0.000 0.599
Cd4 0.000 0.000 0.796
In1 0.500 0.500 0.000
In2 0.500 0.500 0.205
In3 0.500 0.500 0.401
In4 0.500 0.500 0.599
In5 0.500 0.500 0.795
In6 0.500 0.000 0.105
In7 0.500 0.000 0.303
In8 0.500 0.000 0.500
In9 0.500 0.000 0.697
In10 0.500 0.000 0.895
In11 0.000 0.500 0.105
In12 0.000 0.500 0.303
In13 0.000 0.500 0.500
In14 0.000 0.500 0.697
In15 0.000 0.500 0.895
Pb1 0.000 0.000 0.000

Raw total energy (eV per cell): -47.99
SG: P4/mmm
Magnetic moment (μB per formula unit): 0.00
V (Å³/atom): 26.5
DOS at the Fermi energy (states/eV/cell): 6.922